Record 1
Rb2ZrCl8: optimized geometry, GGA-PBE.

Summary:
- magnetic moment (μB per atom) = 0.006
- ΔE_f (raw) (eV per atom) = -1.574
- E_tot (Ry per atom) = -0.284

abc: 13.3494 9.0741 7.8709
angles: 90.00 121.11 90.00
Space group C2/m (No. 12)
Asymmetric unit:
Rb 0.2361 0.0000 0.3329 x4
Zr 0.0000 0.5000 0.0000 x2
Cl 0.0780 0.3063 0.2629 x8
Cl 0.0825 0.0000 0.6236 x4
Cl 0.1889 0.5000 0.0059 x4

=====

Record 2
Pm4NiTe: optimized geometry, GGA-PBE.

Summary:
- magnetic moment (μB per atom) = 0.000
- ΔE_f (raw) (eV per atom) = -0.421
- E_tot (Ry per atom) = -0.373

abc: 5.4992 20.2774 6.3784
angles: 90.00 90.00 90.00
Space group Cmc2_1 (No. 36)
Asymmetric unit:
Pm 0.0000 0.0466 0.0000 x4
Pm 0.0000 0.2000 0.2514 x4
Pm 0.0000 0.1999 0.7480 x4
Pm 0.0000 0.3995 0.9998 x4
Ni 0.0000 0.0842 0.4992 x4
Te 0.0000 0.3496 0.4998 x4

=====

Record 3
Cs2AsBr: optimized geometry, GGA-PBE.

Summary:
- magnetic moment (μB per atom) = 0.500
- ΔE_f (raw) (eV per atom) = -0.599
- E_tot (Ry per atom) = -0.192

abc: 9.5858 9.5858 10.0821
angles: 90.00 90.00 90.00
Space group I-42d (No. 122)
Asymmetric unit:
Cs 0.2340 0.2500 0.1250 x8
As 0.0000 0.0000 0.5000 x4
Br 0.0000 0.0000 0.0000 x4

=====

Record 4
Ti2AlHOs: optimized geometry, GGA-PBE.

Summary:
- magnetic moment (μB per atom) = 0.000
- E_tot (Ry per atom) = -0.531

abc: 4.0920 4.0920 3.7929
angles: 90.00 90.00 90.00
Space group P4/mmm (No. 123)
Asymmetric unit:
Ti 0.0000 0.5000 0.0000 x2
Al 0.0000 0.0000 0.5000 x1
H 0.5000 0.5000 0.0000 x1
Os 0.5000 0.5000 0.5000 x1

=====

Record 5
CaHfB12: optimized geometry, GGA-PBE.

Summary:
- energy of formation from the pure elements (eV/atom) = -0.18
- magnetic moment (μB per atom) = 0.000
- E_tot (Ry per atom) = -0.496

abc: 4.0812 4.0812 8.1790
angles: 90.00 90.00 90.00
Space group P4/mmm (No. 123)
Asymmetric unit:
Ca 0.0000 0.0000 0.0000 x1
Hf 0.0000 0.0000 0.5000 x1
B 0.1987 0.5000 0.2540 x8
B 0.5000 0.5000 0.1018 x2
B 0.5000 0.5000 0.4028 x2

=====

Record 6
Sm2HoZn: optimized geometry, GGA-PBE.

Summary:
- energy of formation from the pure elements (eV/atom) = 0.03
- magnetic moment (μB per atom) = 0.000
- E_tot (Ry per atom) = -0.279

abc: 7.6279 7.6279 7.6279
angles: 90.00 90.00 90.00
Space group Fm-3m (No. 225)
Asymmetric unit:
Sm 0.2500 0.2500 0.2500 x8
Ho 0.0000 0.0000 0.0000 x4
Zn 0.0000 0.0000 0.5000 x4

=====

Which of these has the highest magnetic moment? Cs2AsBr